[1]
## PrThPtSe (PBE-GGA)

Data for a relaxed PrThPtSe crystal.

## Properties
Its space group is R3m, No. 160. As for the spin magnetization: 0.00 μB/atom.

```
PrThPtSe
1.0
4.139 0.000 0.000
-2.069 3.584 0.000
0.000 0.000 22.662
Pr Th Pt Se
3 3 3 3
direct
0.000 0.000 0.000 Pr
0.333 0.667 0.667 Pr
0.667 0.333 0.333 Pr
0.000 0.000 0.182 Th
0.333 0.667 0.849 Th
0.667 0.333 0.515 Th
0.000 0.000 0.586 Pt
0.333 0.667 0.252 Pt
0.667 0.333 0.919 Pt
0.000 0.000 0.759 Se
0.333 0.667 0.426 Se
0.667 0.333 0.093 Se
```



[2]
## PrSi2Pt8 (PBE-GGA)

Data for a relaxed PrSi2Pt8 crystal.

## Properties
Its space group is P4/mmm, No. 123. As for the spin magnetization: 0.00 μB/atom.

```
PrSi2Pt8
1.0
5.434 0.000 0.000
0.000 5.434 0.000
0.000 0.000 7.752
Pr Si Pt
1 2 8
direct
0.000 0.000 0.000 Pr
0.000 0.500 0.500 Si
0.500 0.000 0.500 Si
0.253 0.253 0.302 Pt
0.253 0.253 0.698 Pt
0.253 0.747 0.302 Pt
0.253 0.747 0.698 Pt
0.747 0.253 0.302 Pt
0.747 0.253 0.698 Pt
0.747 0.747 0.302 Pt
0.747 0.747 0.698 Pt
```



[3]
## Pr5Si2Pt2 (PBE-GGA)

Data for a relaxed Pr5Si2Pt2 crystal.

## Properties
Its space group is Cmce, No. 64. As for the spin magnetization: 0.00 μB/atom.

```
Pr5Si2Pt2
1.0
7.785 -3.906 0.000
7.785 3.906 0.000
0.000 0.000 7.835
Pr Si Pt
10 4 4
direct
0.000 0.000 0.000 Pr
0.034 0.685 0.668 Pr
0.185 0.534 0.168 Pr
0.315 0.966 0.668 Pr
0.466 0.815 0.168 Pr
0.500 0.500 0.500 Pr
0.534 0.185 0.832 Pr
0.685 0.034 0.332 Pr
0.815 0.466 0.832 Pr
0.966 0.315 0.332 Pr
0.113 0.887 0.387 Si
0.387 0.613 0.887 Si
0.613 0.387 0.113 Si
0.887 0.113 0.613 Si
0.200 0.200 0.000 Pt
0.300 0.300 0.500 Pt
0.700 0.700 0.500 Pt
0.800 0.800 0.000 Pt
```



[4]
## PrSi3Pt2 (PBE-GGA)

Data for a relaxed PrSi3Pt2 crystal.

## Properties
Its space group is C2/m, No. 12. As for the spin magnetization: 0.00 μB/atom.

```
PrSi3Pt2
1.0
7.607 -2.089 0.000
7.607 2.089 0.000
-2.094 0.000 6.978
Pr Si Pt
2 6 4
direct
0.145 0.145 0.101 Pr
0.855 0.855 0.899 Pr
0.022 0.022 0.665 Si
0.335 0.335 0.562 Si
0.354 0.354 0.220 Si
0.646 0.646 0.780 Si
0.665 0.665 0.438 Si
0.978 0.978 0.335 Si
0.191 0.191 0.657 Pt
0.491 0.491 0.800 Pt
0.509 0.509 0.200 Pt
0.809 0.809 0.343 Pt
```



Number 1: DFT total energy -6.786 eV per atom. Number 2: DFT total energy -6.232 eV per atom. Number 3: DFT total energy -5.991 eV per atom. Number 4: DFT total energy -6.321 eV per atom.